1.
DFT (PBE) results for an optimized crystal structure of Sm4Cu2Pt.

The calculated density is 8.7 g cm⁻³. The value obtained for the energy above the most stable polymorph in this dataset is 0.0 meV/atom. The raw total energy comes out at -5.08 eV/atom. As for the energy of formation: -0.352 eV per atom.

The space group is R-3m (No. 166, hexagonal axes) and the conventional cell measures 4.9864, 4.9864 and 24.6154 Å, with angles of 90.00, 90.00 and 120.00 degrees. The inequivalent atoms are Sm at (0.0000, 0.0000, 0.1249), Sm at (0.0000, 0.0000, 0.3754), Cu at (0.0000, 0.0000, 0.2548) and Pt at (0.0000, 0.0000, 0.5000).

---

2.
DFT (PBE) results for an optimized crystal structure of Re2WSe.

The calculated density is 16.3 g cm⁻³. The formation energy without anion corrections is 0.6423 eV/atom. The raw total energy comes out at -9.69 eV/atom.

The space group is Cmm2 (No. 35) and the conventional cell measures 3.018, 4.667 and 9.195 Å, with angles of 90.00, 90.00 and 90.00 degrees. The inequivalent atoms are Re at (0.000, 0.000, 0.000), Re at (0.000, 0.500, 0.235), W at (0.000, 0.000, 0.476) and Se at (0.000, 0.500, 0.732).

---

3.
DFT (PBE) results for an optimized crystal structure of PtAu2Se.

The calculated density is 15.0 g cm⁻³. The formation energy without anion corrections is 0.2165 eV/atom. The raw total energy comes out at -3.80 eV/atom.

The space group is R-3m (No. 166, hexagonal axes) and the conventional cell measures 2.8547, 2.8547 and 31.3531 Å, with angles of 90.00, 90.00 and 120.00 degrees. The inequivalent atoms are Pt at (0.0000, 0.0000, 0.0000), Au at (0.0000, 0.0000, 0.2569) and Se at (0.0000, 0.0000, 0.5000).

---

4.
DFT (PBE) results for an optimized crystal structure of CdCSe3.

The calculated density is 6.5 g cm⁻³. The formation energy without anion corrections is 0.9217 eV/atom. The value obtained for the energy above the most stable polymorph in this dataset is 0.0 meV/atom. The raw total energy comes out at -3.20 eV/atom.

The space group is Pm-3m (No. 221) and the conventional cell measures 4.516, 4.516 and 4.516 Å, with angles of 90.00, 90.00 and 90.00 degrees. The inequivalent atoms are Cd at (0.000, 0.000, 0.000), C at (0.500, 0.500, 0.500) and Se at (0.000, 0.500, 0.500).

---

5.
DFT (PBE) results for an optimized crystal structure of NdIn2Pd9.

The calculated density is 10.7 g cm⁻³. The raw total energy comes out at -5.29 eV/atom. As for the energy of formation: -0.540 eV per atom.

The space group is P4/mmm (No. 123) and the conventional cell measures 4.110, 4.110 and 12.213 Å, with angles of 90.00, 90.00 and 90.00 degrees. The inequivalent atoms are Nd at (0.000, 0.000, 0.000), In at (0.000, 0.000, 0.341), Pd at (0.000, 0.500, 0.177), Pd at (0.000, 0.500, 0.500), Pd at (0.500, 0.500, 0.000) and Pd at (0.500, 0.500, 0.337).

---

6.
DFT (PBE) results for an optimized crystal structure of SrTbAlSe4.

The calculated density is 5.1 g cm⁻³. The formation energy without anion corrections is -1.5471 eV/atom. The raw total energy comes out at -4.97 eV/atom.

The space group is P2_1/m (No. 11) and the conventional cell measures 6.822, 7.012 and 8.364 Å, with angles of 90.00, 106.97 and 90.00 degrees. The inequivalent atoms are Sr at (0.241, 0.250, 0.058), Tb at (0.225, 0.250, 0.555), Al at (0.240, 0.750, 0.321), Se at (0.004, 0.506, 0.731), Se at (0.439, 0.750, 0.133) and Se at (0.449, 0.750, 0.599).

---

7.
DFT (PBE) results for an optimized crystal structure of PtRh2Pb.

The calculated density is 14.9 g cm⁻³. The value obtained for the energy above the most stable polymorph in this dataset is 166.2 meV/atom. The raw total energy comes out at -5.96 eV/atom. As for the energy of formation: 0.150 eV per atom.

The space group is Imm2 (No. 44) and the conventional cell measures 2.976, 4.744 and 9.603 Å, with angles of 90.00, 90.00 and 90.00 degrees. The inequivalent atoms are Pt at (0.000, 0.000, 0.000), Rh at (0.000, 0.000, 0.507), Rh at (0.000, 0.500, 0.251) and Pb at (0.000, 0.500, 0.756).

---

8.
DFT (PBE) results for an optimized crystal structure of PrSmMg.

The calculated density is 5.6 g cm⁻³. The value obtained for the energy above the most stable polymorph in this dataset is 81.6 meV/atom. The raw total energy comes out at -3.67 eV/atom. As for the energy of formation: 0.026 eV per atom.

The space group is P3m1 (No. 156) and the conventional cell measures 5.5696, 5.5696 and 3.4731 Å, with angles of 90.00, 90.00 and 120.00 degrees. The inequivalent atoms are Pr at (0.0000, 0.0000, 0.0000), Sm at (0.3333, 0.6667, 0.5675) and Mg at (0.6667, 0.3333, 0.2941).